This record from Alexandria describes PuTh3Pt4 after structural relaxation. The functional is PBE-GGA.

The structure belongs to space group I4/mmm (No. 139); the cell edges are 5.897, 5.897 and 11.820 Å and the angles 90.00°, 90.00° and 90.00°. The distinct sites, in fractional coordinates, are Pu at (0.000, 0.000, 0.000), Th at (0.000, 0.000, 0.500), Th at (0.000, 0.500, 0.250), Pt at (0.000, 0.000, 0.250) and Pt at (0.000, 0.500, 0.000).

The formation enthalpy at 0 K comes out at -1.10 eV per atom.

---

This record from Alexandria describes PuTh3Pt12 after structural relaxation. The functional is PBE-GGA.

The structure belongs to space group P4/mmm (No. 123); the cell edges are 4.217, 4.217 and 16.875 Å and the angles 90.00°, 90.00° and 90.00°. The distinct sites, in fractional coordinates, are Pu at (0.000, 0.000, 0.000), Th at (0.000, 0.000, 0.247), Th at (0.000, 0.000, 0.500), Pt at (0.000, 0.500, 0.124), Pt at (0.000, 0.500, 0.374), Pt at (0.500, 0.500, 0.000), Pt at (0.500, 0.500, 0.250) and Pt at (0.500, 0.500, 0.500).

The formation enthalpy at 0 K comes out at -1.01 eV per atom.

---

This record from Alexandria describes PuTh2Pt9 after structural relaxation. The functional is PBE-GGA.

The structure belongs to space group P4/mmm (No. 123); the cell edges are 4.212, 4.212 and 12.630 Å and the angles 90.00°, 90.00° and 90.00°. The distinct sites, in fractional coordinates, are Pu at (0.000, 0.000, 0.000), Th at (0.000, 0.000, 0.330), Pt at (0.000, 0.500, 0.165), Pt at (0.000, 0.500, 0.500), Pt at (0.500, 0.500, 0.000) and Pt at (0.500, 0.500, 0.333).

The formation enthalpy at 0 K comes out at -0.98 eV per atom.

---

This record from Alexandria describes Pu2ThPt after structural relaxation. The functional is PBE-GGA.

The structure belongs to space group P4/mmm (No. 123); the cell edges are 3.651, 3.651 and 7.449 Å and the angles 90.00°, 90.00° and 90.00°. The distinct sites, in fractional coordinates, are Pu at (0.000, 0.000, 0.207), Th at (0.500, 0.500, 0.500) and Pt at (0.500, 0.500, 0.000).

The formation enthalpy at 0 K comes out at -0.32 eV per atom. Its energy above the lowest structure with this stoichiometry is 0.0 kJ/mol of atoms.

---

This record from Alexandria describes PuThPt3 after structural relaxation. The functional is PBE-GGA.

The structure belongs to space group Pnnm (No. 58); the cell edges are 7.177, 7.866 and 7.792 Å and the angles 90.00°, 90.00° and 90.00°. The distinct sites, in fractional coordinates, are Pu at (0.196, 0.135, 0.000), Th at (0.219, 0.144, 0.500), Pt at (0.000, 0.500, 0.260) and Pt at (0.121, 0.856, 0.262).

The formation enthalpy at 0 K comes out at -0.97 eV per atom.

---

This record from Alexandria describes Pu2Th2Pt15 after structural relaxation. The functional is PBE-GGA.

The structure belongs to space group R-3m (No. 166, hexagonal axes); the cell edges are 9.3621, 9.3621 and 13.8891 Å and the angles 90.00°, 90.00° and 120.00°. The distinct sites, in fractional coordinates, are Pu at (0.0000, 0.0000, 0.0968), Th at (0.0000, 0.0000, 0.3538), Pt at (0.0000, 0.3202, 0.0000), Pt at (0.0000, 0.5000, 0.5000) and Pt at (0.0068, 0.5034, 0.1579).

The formation enthalpy at 0 K comes out at -0.68 eV per atom.

---

This record from Alexandria describes Pu3Th2Pt4 after structural relaxation. The functional is PBE-GGA.

The structure belongs to space group P2_1/c (No. 14); the cell edges are 7.729, 7.858 and 7.515 Å and the angles 90.00°, 109.15° and 90.00°. The distinct sites, in fractional coordinates, are Pu at (0.000, 0.000, 0.000), Pu at (0.252, 0.174, 0.763), Th at (0.309, 0.680, 0.932), Pt at (0.020, 0.632, 0.133) and Pt at (0.429, 0.036, 0.167).

The formation enthalpy at 0 K comes out at -0.89 eV per atom.

---

This record from Alexandria describes PuThPt6 after structural relaxation. The functional is PBE-GGA.

The structure belongs to space group P4/mmm (No. 123); the cell edges are 4.199, 4.199 and 8.397 Å and the angles 90.00°, 90.00° and 90.00°. The distinct sites, in fractional coordinates, are Pu at (0.000, 0.000, 0.000), Th at (0.000, 0.000, 0.500), Pt at (0.000, 0.500, 0.248), Pt at (0.500, 0.500, 0.000) and Pt at (0.500, 0.500, 0.500).

The formation enthalpy at 0 K comes out at -0.91 eV per atom.

---

This record from Alexandria describes PuThPt after structural relaxation. The functional is PBE-GGA.

The structure belongs to space group Cmcm (No. 63); the cell edges are 5.432, 9.423 and 5.678 Å and the angles 90.00°, 90.00° and 90.00°. The distinct sites, in fractional coordinates, are Pu at (0.000, 0.000, 0.000), Th at (0.000, 0.333, 0.250) and Pt at (0.000, 0.333, 0.750).

The formation enthalpy at 0 K comes out at -0.67 eV per atom. Its energy above the lowest structure with this stoichiometry is 0.0 kJ/mol of atoms.

---

This record from Alexandria describes Pu6ThPt5 after structural relaxation. The functional is PBE-GGA.

The structure belongs to space group P-1 (No. 2); the cell edges are 5.020, 7.118 and 7.961 Å and the angles 90.10°, 108.06° and 90.00°. The distinct sites, in fractional coordinates, are Pu at (0.001, 0.222, 0.002), Pu at (0.319, 0.753, 0.639), Pu at (0.321, 0.240, 0.643), Th at (0.500, 0.500, 0.000), Pt at (0.147, 0.501, 0.294), Pt at (0.164, 0.000, 0.326) and Pt at (0.500, 0.000, 0.000).

The formation enthalpy at 0 K comes out at -0.57 eV per atom.

---

This record from Alexandria describes PuZrTiPt after structural relaxation. The functional is PBE-GGA.

The structure belongs to space group F-43m (No. 216); the cell edges are 6.730, 6.730 and 6.730 Å and the angles 90.00°, 90.00° and 90.00°. The distinct sites, in fractional coordinates, are Pu at (0.000, 0.000, 0.000), Zr at (0.250, 0.250, 0.750), Ti at (0.250, 0.250, 0.250) and Pt at (0.000, 0.000, 0.500).

The formation enthalpy at 0 K comes out at -0.25 eV per atom.

---

This record from Alexandria describes Pu3TlPt after structural relaxation. The functional is PBE-GGA.

The structure belongs to space group Pm-3m (No. 221); the cell edges are 7.234, 7.234 and 7.234 Å and the angles 90.00°, 90.00° and 90.00°. The distinct sites, in fractional coordinates, are Pu at (0.000, 0.000, 0.000), Pu at (0.276, 0.276, 0.276), Tl at (0.000, 0.000, 0.500) and Pt at (0.000, 0.500, 0.500).

The formation enthalpy at 0 K comes out at -0.20 eV per atom.

---

This record from Alexandria describes Pu7TlPt5 after structural relaxation. The functional is PBE-GGA.

The structure belongs to space group Imm2 (No. 44); the cell edges are 5.641, 10.178 and 10.204 Å and the angles 90.00°, 90.00° and 90.00°. The distinct sites, in fractional coordinates, are Pu at (0.000, 0.000, 0.000), Pu at (0.000, 0.000, 0.345), Pu at (0.000, 0.333, 0.151), Pu at (0.000, 0.333, 0.655), Pu at (0.000, 0.500, 0.340), Tl at (0.000, 0.000, 0.672), Pt at (0.000, 0.500, 0.899) and Pt at (0.245, 0.249, 0.910).

The formation enthalpy at 0 K comes out at -0.46 eV per atom.

---

This record from Alexandria describes Pu3TlPt8 after structural relaxation. The functional is PBE-GGA.

The structure belongs to space group P3m1 (No. 156); the cell edges are 5.4569, 5.4569 and 8.9163 Å and the angles 90.00°, 90.00° and 120.00°. The distinct sites, in fractional coordinates, are Pu at (0.0000, 0.0000, 0.0000), Pu at (0.0000, 0.0000, 0.3767), Pu at (0.3333, 0.6667, 0.8562), Tl at (0.3333, 0.6667, 0.4885), Pt at (0.0051, 0.5025, 0.1811), Pt at (0.3287, 0.1643, 0.6870), Pt at (0.6667, 0.3333, 0.4342) and Pt at (0.6667, 0.3333, 0.9354).

The formation enthalpy at 0 K comes out at -0.65 eV per atom.

---

This record from Alexandria describes PuTlPt after structural relaxation. The functional is PBE-GGA.

The structure belongs to space group F-43m (No. 216); the cell edges are 6.792, 6.792 and 6.792 Å and the angles 90.00°, 90.00° and 90.00°. The distinct sites, in fractional coordinates, are Pu at (0.000, 0.000, 0.000), Tl at (0.000, 0.000, 0.500) and Pt at (0.250, 0.250, 0.750).

The formation enthalpy at 0 K comes out at -0.39 eV per atom. Its energy above the lowest structure with this stoichiometry is 8.7 kJ/mol of atoms.

---

This record from Alexandria describes PuTlPt after structural relaxation. The functional is PBE-GGA.

The structure belongs to space group P-6m2 (No. 187); the cell edges are 4.9510, 4.9510 and 3.0857 Å and the angles 90.00°, 90.00° and 120.00°. The distinct sites, in fractional coordinates, are Pu at (0.0000, 0.0000, 0.0000), Tl at (0.3333, 0.6667, 0.5000) and Pt at (0.6667, 0.3333, 0.5000).

The formation enthalpy at 0 K comes out at -0.32 eV per atom. Its energy above the lowest structure with this stoichiometry is 15.5 kJ/mol of atoms.

---

This record from Alexandria describes PuTlPt after structural relaxation. The functional is PBE-GGA.

The structure belongs to space group Cmcm (No. 63); the cell edges are 3.817, 17.878 and 4.301 Å and the angles 90.00°, 90.00° and 90.00°. The distinct sites, in fractional coordinates, are Pu at (0.000, 0.089, 0.250), Tl at (0.000, 0.290, 0.250) and Pt at (0.000, 0.449, 0.250).

The formation enthalpy at 0 K comes out at -0.48 eV per atom. Its energy above the lowest structure with this stoichiometry is 0.0 kJ/mol of atoms.

---

This record from Alexandria describes Pu3TlPt2 after structural relaxation. The functional is PBE-GGA.

The structure belongs to space group P4/mmm (No. 123); the cell edges are 3.402, 3.402 and 12.222 Å and the angles 90.00°, 90.00° and 90.00°. The distinct sites, in fractional coordinates, are Pu at (0.000, 0.000, 0.000), Pu at (0.000, 0.000, 0.301), Tl at (0.500, 0.500, 0.500) and Pt at (0.500, 0.500, 0.153).

The formation enthalpy at 0 K comes out at -0.48 eV per atom.

---

This record from Alexandria describes PuTlPt after structural relaxation. The functional is PBE-GGA.

The structure belongs to space group I4mm (No. 107); the cell edges are 3.581, 3.581 and 10.967 Å and the angles 90.00°, 90.00° and 90.00°. The distinct sites, in fractional coordinates, are Pu at (0.000, 0.000, 0.000), Tl at (0.000, 0.000, 0.703) and Pt at (0.000, 0.000, 0.361).

The formation enthalpy at 0 K comes out at -0.33 eV per atom. Its energy above the lowest structure with this stoichiometry is 15.0 kJ/mol of atoms.

---

This record from Alexandria describes PuTlPt2 after structural relaxation. The functional is PBE-GGA.

The structure belongs to space group P4/mmm (No. 123); the cell edges are 3.482, 3.482 and 7.011 Å and the angles 90.00°, 90.00° and 90.00°. The distinct sites, in fractional coordinates, are Pu at (0.000, 0.000, 0.000), Tl at (0.000, 0.000, 0.500) and Pt at (0.500, 0.500, 0.238).

The formation enthalpy at 0 K comes out at -0.37 eV per atom.

---

This record from Alexandria describes YPuTlPt after structural relaxation. The functional is PBE-GGA.

The structure belongs to space group F-43m (No. 216); the cell edges are 7.325, 7.325 and 7.325 Å and the angles 90.00°, 90.00° and 90.00°. The distinct sites, in fractional coordinates, are Y at (0.000, 0.000, 0.000), Pu at (0.000, 0.000, 0.500), Tl at (0.250, 0.250, 0.250) and Pt at (0.250, 0.250, 0.750).

The formation enthalpy at 0 K comes out at -0.44 eV per atom.

---

This record from Alexandria describes TmPu2Pt3 after structural relaxation. The functional is PBE-GGA.

The structure belongs to space group P2/c (No. 13); the cell edges are 4.893, 3.431 and 15.958 Å and the angles 90.00°, 107.82° and 90.00°. The distinct sites, in fractional coordinates, are Tm at (0.000, 0.002, 0.250), Pu at (0.330, 0.002, 0.080), Pt at (0.154, 0.499, 0.905) and Pt at (0.500, 0.498, 0.750).

The formation enthalpy at 0 K comes out at -0.91 eV per atom. Its energy above the lowest structure with this stoichiometry is 0.0 kJ/mol of atoms.